# CaIn3Ni PBE-GGA relaxed
# * ΔH_f (0 K): 1.208 eV per atom
# * M_tot: 0.000 μB/f.u.
# * uncorrected energy: -1.99 eV per atom
data_CaIn3Ni
_cell_length_a 5.811
_cell_length_b 5.811
_cell_length_c 5.811
_cell_angle_alpha 90.00
_cell_angle_beta 90.00
_cell_angle_gamma 90.00
_symmetry_space_group_name_H-M 'P m -3 m'
_symmetry_Int_Tables_number 221
_symmetry_space_group_name_Hall '-P 4 2 3'
loop_
_atom_site_label
_atom_site_type_symbol
_atom_site_fract_x
_atom_site_fract_y
_atom_site_fract_z
_atom_site_occupancy
Ca1 Ca 0.000 0.000 0.000 1
In1 In 0.000 0.000 0.500 1
Ni1 Ni 0.500 0.500 0.500 1